(1)
{
  "formula": "ThZn2Br8",
  "functional": "GGA-PBE",
  "state": "optimized geometry",
  "lattice": [[6.718, 0.210, 0.347], [0.328, 7.965, 2.326], [0.244, 0.826, 8.259]],
  "species": ["Th", "Zn", "Zn", "Br", "Br", "Br", "Br", "Br", "Br", "Br", "Br"],
  "frac_coords": [[0.000, 0.000, 0.000], [0.341, 0.196, 0.196], [0.659, 0.804, 0.804], [0.766, 0.111, 0.700], [0.234, 0.300, 0.889], [0.721, 0.171, 0.171], [0.279, 0.829, 0.829], [0.766, 0.700, 0.111], [0.234, 0.889, 0.300], [0.247, 0.361, 0.361], [0.753, 0.639, 0.639]],
  "dos_ef_per_ev_fu": 0.0,
  "e_form_raw_ev_per_atom": -1.190,
  "e_tot_ev_per_atom": -3.313,
  "spacegroup": "C2/m"
}

(2)
{
  "formula": "ScMn2Ru",
  "functional": "GGA-PBE",
  "state": "optimized geometry",
  "lattice": [[-2.224, -2.106, -2.962], [-1.675, -1.084, 2.029], [-3.931, 3.457, 0.494]],
  "species": ["Mn", "Mn", "Ru", "Sc"],
  "frac_coords": [[0.000, 0.063, 0.026], [0.000, 0.437, 0.474], [0.500, 0.250, 0.250], [0.500, 0.750, 0.750]],
  "dos_ef_per_ev_fu": 5.0,
  "e_tot_ev_per_atom": -8.379,
  "de_polymorph_kj_per_mol_atoms": 16.7,
  "spacegroup": "P2/m"
}